[1]
Crystalline DyTm6Zr at its relaxed geometry. Source: Alexandria, functional PBE-GGA.

- formation enthalpy at 0 K (eV per atom) = 0.244
- D(E_F) (states/eV/f.u.) = 14.28
- relative energy among the computed polymorphs (eV per atom) = 0.1944
- space-group type = P-1, No. 2

a = 6.625 Å, b = 6.339 Å, c = 6.564 Å
α = 78.52°, β = 63.23°, γ = 92.34°
Positions (direct):
Tm1 0.903 0.224 0.537
Tm2 0.559 0.757 0.989
Tm3 0.407 0.254 0.511
Tm4 0.593 0.746 0.489
Tm5 0.441 0.243 0.011
Tm6 0.097 0.776 0.463
Dy1 0.000 0.500 0.000
Zr1 0.000 0.000 0.000

***

[2]
Crystalline HgH3Au at its relaxed geometry. Source: Alexandria, functional PBE-GGA.

- D(E_F) (states/eV/f.u.) = 1.99
- relative energy among the computed polymorphs (eV per atom) = 0.3925
- space-group type = Pm-3m, No. 221

a = 3.885 Å, b = 3.885 Å, c = 3.885 Å
α = 90.00°, β = 90.00°, γ = 90.00°
Positions (direct):
Hg1 0.000 0.000 0.000
H1 0.000 0.000 0.500
H2 0.500 0.000 0.000
H3 0.000 0.500 0.000
Au1 0.500 0.500 0.500

***

[3]
Crystalline Pm4AgHg3 at its relaxed geometry. Source: Alexandria, functional PBE-GGA.

- formation enthalpy at 0 K (eV per atom) = -0.386
- D(E_F) (states/eV/f.u.) = 9.16
- relative energy among the computed polymorphs (eV per atom) = 0.0357
- space-group type = Pmm2, No. 25

a = 3.779 Å, b = 4.931 Å, c = 11.940 Å
α = 90.00°, β = 90.00°, γ = 90.00°
Positions (direct):
Pm1 0.000 0.500 0.855
Pm2 0.500 0.500 0.348
Pm3 0.000 0.000 0.146
Pm4 0.500 0.000 0.650
Hg1 0.000 0.500 0.582
Hg2 0.000 0.000 0.418
Hg3 0.500 0.000 0.923
Ag1 0.500 0.500 0.078

***

[4]
Crystalline LiPr2NiGe2 at its relaxed geometry. Source: Alexandria, functional PBE-GGA.

- formation enthalpy at 0 K (eV per atom) = -0.640
- D(E_F) (states/eV/f.u.) = 5.43
- space-group type = Ibam, No. 72

a = 6.166 Å, b = 6.149 Å, c = 7.982 Å
α = 112.66°, β = 112.72°, γ = 90.00°
Positions (direct):
Ni1 0.500 0.750 0.000
Ni2 0.500 0.250 0.000
Pr1 0.901 0.656 0.312
Pr2 0.099 0.344 0.688
Pr3 0.411 0.156 0.312
Pr4 0.589 0.844 0.688
Li1 0.000 0.750 0.000
Li2 0.000 0.250 0.000
Ge1 0.363 0.603 0.205
Ge2 0.842 0.103 0.205
Ge3 0.158 0.897 0.795
Ge4 0.637 0.397 0.795

***

[5]
Crystalline V2PtI2 at its relaxed geometry. Source: Alexandria, functional PBE-GGA.

- formation energy without anion corrections (eV per atom) = 0.55
- D(E_F) (states/eV/f.u.) = 2.21
- relative energy among the computed polymorphs (eV per atom) = 0.0000
- space-group type = I4/mmm, No. 139

a = 3.547 Å, b = 3.547 Å, c = 8.686 Å
α = 78.22°, β = 78.22°, γ = 90.00°
Positions (direct):
V1 0.250 0.750 0.500
V2 0.750 0.250 0.500
Pt1 0.000 0.000 0.000
I1 0.376 0.376 0.247
I2 0.624 0.624 0.753

***

[6]
Crystalline KPaBeSe4 at its relaxed geometry. Source: Alexandria, functional PBE-GGA.

- formation energy without anion corrections (eV per atom) = -1.19
- space-group type = P2_1/m, No. 11

a = 6.434 Å, b = 6.700 Å, c = 9.157 Å
α = 90.00°, β = 109.05°, γ = 90.00°
Positions (direct):
Se1 0.589 0.250 0.827
Se2 0.013 0.994 0.705
Se3 0.987 0.494 0.295
Se4 0.560 0.250 0.417
Se5 0.987 0.006 0.295
Se6 0.440 0.750 0.583
Se7 0.411 0.750 0.173
Se8 0.013 0.506 0.705
Be1 0.775 0.250 0.661
Be2 0.225 0.750 0.339
K1 0.747 0.750 0.946
K2 0.253 0.250 0.054
Pa1 0.762 0.750 0.443
Pa2 0.238 0.250 0.557

***

[7]
Crystalline CoAg2W at its relaxed geometry. Source: Alexandria, functional PBE-GGA.

- formation enthalpy at 0 K (eV per atom) = 0.350
- D(E_F) (states/eV/f.u.) = 2.62
- relative energy among the computed polymorphs (eV per atom) = 0.0214
- space-group type = R3m, No. 160

a = 9.410 Å, b = 9.410 Å, c = 9.410 Å
α = 17.06°, β = 17.06°, γ = 17.06°
Positions (direct):
Ag1 0.001 0.001 0.001
Ag2 0.244 0.244 0.244
W1 0.759 0.759 0.759
Co1 0.495 0.495 0.495

***

[8]
Crystalline DyThCSe at its relaxed geometry. Source: Alexandria, functional PBE-GGA.

- formation energy without anion corrections (eV per atom) = -1.08
- D(E_F) (states/eV/f.u.) = 2.34
- space-group type = R3m, No. 160

a = 3.778 Å, b = 3.778 Å, c = 7.295 Å
α = 90.00°, β = 105.00°, γ = 119.99°
Positions (direct):
Th1 0.505 0.150 0.670
C1 0.307 0.551 0.873
Se1 0.961 0.379 0.355
Dy1 0.105 0.951 0.071

***

| no. | total magnetization (μB per formula unit) |
| --- | --- |
| 1 | 0.00 |
| 2 | 0.00 |
| 3 | 0.00 |
| 4 | 0.00 |
| 5 | 0.00 |
| 6 | 0.16 |
| 7 | 0.09 |
| 8 | 0.49 |